Record 1
The following is a PBE calculation of crystalline PaHgSb2 at its relaxed geometry, from the Alexandria database.

a = 7.779 Å, b = 7.779 Å, c = 7.779 Å
α = 33.22°, β = 33.22°, γ = 33.22°
Fractional positions:
1 Pa 0.000 0.000 0.000
2 Hg 0.500 0.500 0.500
3 Sb 0.258 0.258 0.258
4 Sb 0.742 0.742 0.742

Space group ... R-3m (166)
Total magnetization ... 0.000 μB/f.u.
Offset from the most stable computed form ... 0.356 eV per atom
Energy relative to the elements, uncorrected ... 0.01 eV per atom

***

Record 2
The following is a PBE calculation of crystalline ZrFe2W at its relaxed geometry, from the Alexandria database.

a = 5.116 Å, b = 5.116 Å, c = 5.116 Å
α = 137.86°, β = 137.86°, γ = 61.12°
Fractional positions:
1 Zr 0.000 0.000 0.000
2 Fe 0.250 0.750 0.500
3 Fe 0.500 0.500 0.000
4 W 0.750 0.250 0.500

ΔE_f ... 273 meV/atom
Space group ... I-4m2 (119)
Total magnetization ... 1.465 μB/f.u.

***

Record 3
The following is a PBE calculation of crystalline KSb2IN at its relaxed geometry, from the Alexandria database.

a = 6.143 Å, b = 6.143 Å, c = 5.994 Å
α = 90.00°, β = 90.00°, γ = 90.00°
Fractional positions:
1 K 0.000 0.000 0.000
2 Sb 0.000 0.500 0.000
3 Sb 0.500 0.000 0.000
4 I 0.000 0.000 0.500
5 N 0.500 0.500 0.500

Space group ... P4/mmm (123)
Total magnetization ... 0.002 μB/f.u.
Offset from the most stable computed form ... 1.976 eV per atom
Energy relative to the elements, uncorrected ... 2.23 eV per atom

***

Record 4
The following is a PBE calculation of crystalline Nd12Sm5Er at its relaxed geometry, from the Alexandria database.

a = 10.968 Å, b = 10.968 Å, c = 5.174 Å
α = 90.00°, β = 90.00°, γ = 90.03°
Fractional positions:
1 Nd 0.001 0.332 0.500
2 Nd 0.165 0.835 0.000
3 Nd 0.167 0.499 0.000
4 Nd 0.332 0.001 0.500
5 Nd 0.334 0.666 0.500
6 Nd 0.499 0.167 0.000
7 Nd 0.501 0.833 0.000
8 Nd 0.666 0.334 0.500
9 Nd 0.668 0.999 0.500
10 Nd 0.833 0.501 0.000
11 Nd 0.835 0.165 0.000
12 Nd 0.999 0.668 0.500
13 Sm 0.166 0.166 0.000
14 Sm 0.333 0.333 0.500
15 Sm 0.500 0.500 0.000
16 Sm 0.667 0.667 0.500
17 Sm 0.834 0.834 0.000
18 Er 0.000 0.000 0.500

ΔE_f ... 14 meV/atom
Space group ... Cmmm (65)
Total magnetization ... 0.000 μB/f.u.

***

Record 5
The following is a PBE calculation of crystalline KMnAgI5 at its relaxed geometry, from the Alexandria database.

a = 8.415 Å, b = 8.415 Å, c = 10.191 Å
α = 102.78°, β = 102.78°, γ = 100.94°
Fractional positions:
1 K 0.135 0.865 0.750
2 K 0.865 0.135 0.250
3 Mn 0.194 0.806 0.250
4 Mn 0.806 0.194 0.750
5 Ag 0.500 0.500 0.000
6 Ag 0.500 0.500 0.500
7 I 0.092 0.257 0.946
8 I 0.178 0.565 0.383
9 I 0.257 0.092 0.446
10 I 0.410 0.590 0.750
11 I 0.435 0.822 0.117
12 I 0.565 0.178 0.883
13 I 0.590 0.410 0.250
14 I 0.743 0.908 0.554
15 I 0.822 0.435 0.617
16 I 0.908 0.743 0.054

Space group ... C2/c (15)
Total magnetization ... 4.381 μB/f.u.
Energy relative to the elements, uncorrected ... -0.56 eV per atom

***

Record 6
The following is a PBE calculation of crystalline ZnRu2Se at its relaxed geometry, from the Alexandria database.

a = 2.887 Å, b = 3.823 Å, c = 5.540 Å
α = 90.00°, β = 90.00°, γ = 90.00°
Fractional positions:
1 Zn 0.000 0.000 0.000
2 Ru 0.000 0.000 0.480
3 Ru 0.500 0.500 0.218
4 Se 0.500 0.500 0.662

Space group ... Pmm2 (25)
Total magnetization ... 0.000 μB/f.u.
Offset from the most stable computed form ... 0.101 eV per atom
Energy relative to the elements, uncorrected ... 0.19 eV per atom